CsTlPO4 | PBE | relaxed

abc: 5.684 5.890 9.668
angles: 90.00 120.63 90.00
Sites, in units of the cell vectors:
O (0.030, 0.033, 0.773)
O (0.591, 0.250, 0.695)
O (0.217, 0.750, 0.494)
O (0.970, 0.967, 0.227)
O (0.970, 0.533, 0.227)
O (0.030, 0.467, 0.773)
O (0.783, 0.250, 0.506)
O (0.409, 0.750, 0.305)
P (0.860, 0.250, 0.688)
P (0.140, 0.750, 0.312)
Cs (0.385, 0.250, 0.130)
Cs (0.615, 0.750, 0.870)
Tl (0.842, 0.750, 0.550)
Tl (0.158, 0.250, 0.450)

Values from the calculation:
Its space-group type is P2_1/m (11). As for the mass density: 5.154 g/cm3. Its total moment is 0.00 μB/cell. The value obtained for the uncorrected energy is -5.854 eV/atom.


Hf3CoPd | PBE | relaxed

abc: 5.322 5.322 8.727
angles: 63.74 63.74 62.83
Sites, in units of the cell vectors:
Hf (0.286, 0.286, 0.271)
Hf (0.714, 0.714, 0.729)
Hf (0.694, 0.694, 0.112)
Hf (0.306, 0.306, 0.888)
Hf (0.054, 0.054, 0.730)
Hf (0.946, 0.946, 0.270)
Co (0.749, 0.251, 0.000)
Co (0.251, 0.749, 0.000)
Pd (0.272, 0.728, 0.500)
Pd (0.728, 0.272, 0.500)

Values from the calculation:
Its space-group type is C2/m (12). The formation energy is -379 meV/atom. The calculation puts the energy above the most stable polymorph in this dataset at 0 meV/atom. As for the mass density: 12.375 g/cm3. Its total moment is 0.00 μB/cell. The value obtained for the uncorrected energy is -8.811 eV/atom.